## InCoO3 (PBE+U)

Data for an optimized crystal structure of InCoO3.

Total moment: 0.00 μB/cell
DFT total energy: -5.706 eV/atom

abc: 5.3221 7.4453 5.1300
angles: 90.00 90.00 90.00
Element x y z (fractional)
In 0.0626 0.2500 0.0216
In 0.4374 0.7500 0.5216
In 0.5626 0.2500 0.4784
In 0.9374 0.7500 0.9784
Co 0.0000 0.0000 0.5000
Co 0.0000 0.5000 0.5000
Co 0.5000 0.0000 0.0000
Co 0.5000 0.5000 0.0000
O 0.0496 0.7500 0.3814
O 0.2016 0.5636 0.8020
O 0.2016 0.9364 0.8020
O 0.2984 0.0636 0.3020
O 0.2984 0.4364 0.3020
O 0.4504 0.2500 0.8814
O 0.5496 0.7500 0.1186
O 0.7016 0.5636 0.6980
O 0.7016 0.9364 0.6980
O 0.7984 0.0636 0.1980
O 0.7984 0.4364 0.1980
O 0.9504 0.2500 0.6186